Record 1
# CuTe2S PBE-GGA optimized geometry
# * formation energy without anion corrections: 0.178 eV per atom
# * magnetization: 0.00 μB per atom
# * polymorph energy (0 for the lowest one): 0.0 meV per atom
data_CuTe2S
_cell_length_a 4.0508
_cell_length_b 4.0508
_cell_length_c 23.0803
_cell_angle_alpha 90.00
_cell_angle_beta 90.00
_cell_angle_gamma 120.00
_symmetry_space_group_name_H-M 'R -3 m'
_symmetry_Int_Tables_number 166
_symmetry_space_group_name_Hall '-R 3 2"'
loop_
_atom_site_label
_atom_site_fract_x
_atom_site_fract_y
_atom_site_fract_z
Cu1 0.0000 0.0000 0.0000
Te1 0.0000 0.0000 0.3921
S1 0.0000 0.0000 0.5000

Record 2
# Cu2TeS2 PBE-GGA optimized geometry
# * formation energy without anion corrections: 0.333 eV per atom
# * magnetization: 0.00 μB per atom
data_Cu2TeS2
_cell_length_a 4.647
_cell_length_b 4.647
_cell_length_c 9.083
_cell_angle_alpha 90.00
_cell_angle_beta 90.00
_cell_angle_gamma 90.00
_symmetry_space_group_name_H-M 'I 4/m m m'
_symmetry_Int_Tables_number 139
_symmetry_space_group_name_Hall '-I 4 2'
loop_
_atom_site_label
_atom_site_fract_x
_atom_site_fract_y
_atom_site_fract_z
Cu1 0.000 0.000 0.195
Te1 0.000 0.000 0.500
S1 0.000 0.500 0.250

Record 3
# CuTeS2 PBE-GGA optimized geometry
# * formation energy without anion corrections: 0.120 eV per atom
# * magnetization: 0.00 μB per atom
# * polymorph energy (0 for the lowest one): 66.6 meV per atom
data_CuTeS2
_cell_length_a 3.673
_cell_length_b 3.674
_cell_length_c 6.721
_cell_angle_alpha 90.03
_cell_angle_beta 90.19
_cell_angle_gamma 90.02
_symmetry_space_group_name_H-M 'P 1'
_symmetry_Int_Tables_number 1
_symmetry_space_group_name_Hall 'P 1'
loop_
_atom_site_label
_atom_site_fract_x
_atom_site_fract_y
_atom_site_fract_z
Cu1 0.000 0.000 0.000
Te1 0.499 0.502 0.500
S1 0.000 0.500 0.190
S2 0.499 0.001 0.810

Record 4
# CuTeS3 PBE-GGA optimized geometry
# * formation energy without anion corrections: 0.191 eV per atom
# * magnetization: 0.00 μB per atom
# * polymorph energy (0 for the lowest one): 156.2 meV per atom
data_CuTeS3
_cell_length_a 6.2346
_cell_length_b 6.2346
_cell_length_c 6.4284
_cell_angle_alpha 90.00
_cell_angle_beta 90.00
_cell_angle_gamma 120.00
_symmetry_space_group_name_H-M 'P -6 c 2'
_symmetry_Int_Tables_number 188
_symmetry_space_group_name_Hall 'P -6c 2'
loop_
_atom_site_label
_atom_site_fract_x
_atom_site_fract_y
_atom_site_fract_z
Cu1 0.0000 0.0000 0.0000
Te1 0.6667 0.3333 0.0000
S1 0.3132 0.0114 0.2500

Record 5
# CuTeS2 PBE-GGA optimized geometry
# * formation energy without anion corrections: 0.053 eV per atom
# * magnetization: 0.00 μB per atom
# * polymorph energy (0 for the lowest one): 0.0 meV per atom
data_CuTeS2
_cell_length_a 3.5783
_cell_length_b 3.5783
_cell_length_c 22.7973
_cell_angle_alpha 90.00
_cell_angle_beta 90.00
_cell_angle_gamma 120.00
_symmetry_space_group_name_H-M 'R -3 m'
_symmetry_Int_Tables_number 166
_symmetry_space_group_name_Hall '-R 3 2"'
loop_
_atom_site_label
_atom_site_fract_x
_atom_site_fract_y
_atom_site_fract_z
Cu1 0.0000 0.0000 0.0000
Te1 0.0000 0.0000 0.5000
S1 0.0000 0.0000 0.3874

Record 6
# CuTe2S PBE-GGA optimized geometry
# * formation energy without anion corrections: 0.272 eV per atom
# * magnetization: 0.00 μB per atom
# * polymorph energy (0 for the lowest one): 94.5 meV per atom
data_CuTe2S
_cell_length_a 5.705
_cell_length_b 5.705
_cell_length_c 13.868
_cell_angle_alpha 90.00
_cell_angle_beta 90.00
_cell_angle_gamma 90.00
_symmetry_space_group_name_H-M 'I -4 2 d'
_symmetry_Int_Tables_number 122
_symmetry_space_group_name_Hall 'I -4 2bw'
loop_
_atom_site_label
_atom_site_fract_x
_atom_site_fract_y
_atom_site_fract_z
Cu1 0.000 0.000 0.000
Te1 0.225 0.250 0.125
S1 0.000 0.000 0.500